# CuBRh2Au, relaxed, DFT PBE
# relative energy among the computed polymorphs = 1078 meV/atom
# crystal system = tetragonal
# raw total energy = -4.646 eV/atom
# ΔE_f = 1.105 eV per atom
# magnetization = 0.00 μB per formula unit
data_CuBRh2Au
_chemical_formula_sum 'Cu1 B1 Rh2 Au1'
_cell_length_a 4.640
_cell_length_b 3.633
_cell_length_c 4.640
_cell_angle_alpha 90.00
_cell_angle_beta 90.00
_cell_angle_gamma 90.00
_space_group_name_H-M_alt 'P 1'
_space_group_IT_number 1
_space_group_name_Hall 'P 1'
loop_
_atom_site_label
_atom_site_type_symbol
_atom_site_fract_x
_atom_site_fract_y
_atom_site_fract_z
_atom_site_occupancy
Rh1 Rh 0.000 0.000 0.500 1
Rh2 Rh 0.500 0.000 0.000 1
Cu1 Cu 0.000 0.000 0.000 1
B1 B 0.000 0.500 0.000 1
Au1 Au 0.500 0.500 0.500 1

=====

# Re2OsRh, relaxed, DFT PBE
# relative energy among the computed polymorphs = 115 meV/atom
# crystal system = orthorhombic
# raw total energy = -10.892 eV/atom
# ΔE_f = -0.022 eV per atom
# magnetization = 0.00 μB per formula unit
data_Re2OsRh
_chemical_formula_sum 'Re2 Os1 Rh1'
_cell_length_a 2.739
_cell_length_b 3.896
_cell_length_c 5.482
_cell_angle_alpha 90.00
_cell_angle_beta 90.00
_cell_angle_gamma 90.00
_space_group_name_H-M_alt 'P 1'
_space_group_IT_number 1
_space_group_name_Hall 'P 1'
loop_
_atom_site_label
_atom_site_type_symbol
_atom_site_fract_x
_atom_site_fract_y
_atom_site_fract_z
_atom_site_occupancy
Re1 Re 0.000 0.000 0.260 1
Re2 Re 0.000 0.000 0.740 1
Rh1 Rh 0.500 0.500 0.000 1
Os1 Os 0.500 0.500 0.500 1

=====

# InTcBi2H, relaxed, DFT PBE
# crystal system = tetragonal
# raw total energy = -4.063 eV/atom
# magnetization = 2.65 μB per formula unit
data_InTcBi2H
_chemical_formula_sum 'In1 Tc1 Bi2 H1'
_cell_length_a 4.681
_cell_length_b 4.860
_cell_length_c 4.681
_cell_angle_alpha 90.00
_cell_angle_beta 90.00
_cell_angle_gamma 90.00
_space_group_name_H-M_alt 'P 1'
_space_group_IT_number 1
_space_group_name_Hall 'P 1'
loop_
_atom_site_label
_atom_site_type_symbol
_atom_site_fract_x
_atom_site_fract_y
_atom_site_fract_z
_atom_site_occupancy
Bi1 Bi 0.500 0.000 0.000 1
Bi2 Bi 0.000 0.000 0.500 1
H1 H 0.000 0.000 0.000 1
Tc1 Tc 0.500 0.500 0.500 1
In1 In 0.000 0.500 0.000 1

=====

# Ac12LaSn4, relaxed, DFT PBE
# crystal system = cubic
# raw total energy = -4.073 eV/atom
# ΔE_f = 0.059 eV per atom
# magnetization = 0.04 μB per formula unit
data_Ac12LaSn4
_chemical_formula_sum 'Ac12 La1 Sn4'
_cell_length_a 10.215
_cell_length_b 10.215
_cell_length_c 10.215
_cell_angle_alpha 109.47
_cell_angle_beta 109.47
_cell_angle_gamma 109.47
_space_group_name_H-M_alt 'P 1'
_space_group_IT_number 1
_space_group_name_Hall 'P 1'
loop_
_atom_site_label
_atom_site_type_symbol
_atom_site_fract_x
_atom_site_fract_y
_atom_site_fract_z
_atom_site_occupancy
Ac1 Ac 0.329 0.495 0.166 1
Ac2 Ac 0.505 0.834 0.671 1
Ac3 Ac 0.329 0.164 0.834 1
Ac4 Ac 0.164 0.834 0.329 1
Ac5 Ac 0.671 0.836 0.166 1
Ac6 Ac 0.836 0.166 0.671 1
Ac7 Ac 0.166 0.671 0.836 1
Ac8 Ac 0.166 0.329 0.495 1
Ac9 Ac 0.671 0.505 0.834 1
Ac10 Ac 0.834 0.671 0.505 1
Ac11 Ac 0.834 0.329 0.164 1
Ac12 Ac 0.495 0.166 0.329 1
La1 La 0.000 0.000 0.000 1
Sn1 Sn 0.500 0.000 0.000 1
Sn2 Sn 0.000 0.000 0.500 1
Sn3 Sn 0.000 0.500 0.000 1
Sn4 Sn 0.500 0.500 0.500 1